Li2VO2F: optimized geometry, GGA+U.

```
Li2VO2F
1.0
7.7605 -1.5102 0.0000
7.7605 1.5102 0.0000
-3.2081 0.0000 9.8815
Li V O F
8 4 8 4
Cartesian
0.0000 0.0000 0.0000
-0.3099 0.0000 7.4751
1.5365 0.0000 2.4809
5.2765 0.0000 7.7272
6.9519 0.0000 2.8200
6.6919 0.0000 9.6130
8.5302 0.0000 5.0812
13.7494 0.0000 5.1650
1.6030 0.0000 9.7928
3.3763 0.0000 5.0155
10.3254 0.0000 7.4513
11.9266 0.0000 2.5985
-1.7526 0.0000 8.7107
1.7689 0.0000 6.2782
3.5151 0.0000 1.4332
3.2468 0.0000 8.6859
5.0252 0.0000 3.7120
8.6825 0.0000 8.7239
10.3367 0.0000 3.8243
11.8946 0.0000 6.1531
-0.0943 0.0000 3.8112
8.3627 0.0000 1.4527
6.8675 0.0000 6.1485
13.5719 0.0000 1.1918
```

Calculated values
As for the raw total energy: -147.20 eV/cell. For the calculated volume, the calculation gives 9.7 A^3/atom.